# 1
# KTeNO2 GGA-PBE optimized geometry
data_KTeNO2
_symmetry_space_group_name_H-M 'P 4/m m m'
_symmetry_Int_Tables_number 123
_symmetry_space_group_name_Hall '-P 4 2'
_cell_length_a 4.1239
_cell_length_b 4.1239
_cell_length_c 3.9661
_cell_angle_alpha 90.00
_cell_angle_beta 90.00
_cell_angle_gamma 90.00
loop_
_atom_site_label
_atom_site_type_symbol
_atom_site_fract_x
_atom_site_fract_y
_atom_site_fract_z
K1 K 0.0000 0.0000 0.0000
Te1 Te 0.5000 0.5000 0.5000
N1 N 0.5000 0.5000 0.0000
O1 O 0.0000 0.5000 0.5000
# Formation energy (no corrections) = -355.2 meV/atom
# Volume = 13.49 Å³/atom

***

# 2
# LaCe3Sb3 GGA-PBE optimized geometry
data_LaCe3Sb3
_symmetry_space_group_name_H-M 'P 63/m'
_symmetry_Int_Tables_number 176
_symmetry_space_group_name_Hall '-P 6c'
_cell_length_a 9.2532
_cell_length_b 9.2532
_cell_length_c 5.7549
_cell_angle_alpha 90.00
_cell_angle_beta 90.00
_cell_angle_gamma 120.00
loop_
_atom_site_label
_atom_site_type_symbol
_atom_site_fract_x
_atom_site_fract_y
_atom_site_fract_z
La1 La 0.3333 0.6667 0.2500
Ce1 Ce 0.0165 0.7670 0.2500
Sb1 Sb 0.0636 0.6298 0.7500
# Formation energy (no corrections) = -709.8 meV/atom
# Volume = 30.48 Å³/atom

***

# 3
# PmB2Ru GGA-PBE optimized geometry
data_PmB2Ru
_symmetry_space_group_name_H-M 'R -3 m'
_symmetry_Int_Tables_number 166
_symmetry_space_group_name_Hall '-R 3 2"'
_cell_length_a 3.6784
_cell_length_b 3.6784
_cell_length_c 14.6171
_cell_angle_alpha 90.00
_cell_angle_beta 90.00
_cell_angle_gamma 120.00
loop_
_atom_site_label
_atom_site_type_symbol
_atom_site_fract_x
_atom_site_fract_y
_atom_site_fract_z
Pm1 Pm 0.0000 0.0000 0.0000
B1 B 0.0000 0.0000 0.2025
Ru1 Ru 0.0000 0.0000 0.5000
# Volume = 14.27 Å³/atom
# ΔE_f = -0.192 eV/atom

***

# 4
# Nb2Cd2Cu GGA-PBE optimized geometry
data_Nb2Cd2Cu
_symmetry_space_group_name_H-M 'I 4/m m m'
_symmetry_Int_Tables_number 139
_symmetry_space_group_name_Hall '-I 4 2'
_cell_length_a 3.6487
_cell_length_b 3.6487
_cell_length_c 15.4874
_cell_angle_alpha 90.00
_cell_angle_beta 90.00
_cell_angle_gamma 90.00
loop_
_atom_site_label
_atom_site_type_symbol
_atom_site_fract_x
_atom_site_fract_y
_atom_site_fract_z
Nb1 Nb 0.0000 0.5000 0.2500
Cd1 Cd 0.0000 0.0000 0.0901
Cu1 Cu 0.0000 0.0000 0.5000
# Volume = 20.62 Å³/atom
# ΔE_f = 0.548 eV/atom

***

# 5
# BaSc2Te GGA-PBE optimized geometry
data_BaSc2Te
_symmetry_space_group_name_H-M 'P 4 m m'
_symmetry_Int_Tables_number 99
_symmetry_space_group_name_Hall 'P 4 -2'
_cell_length_a 3.8771
_cell_length_b 3.8771
_cell_length_c 8.2870
_cell_angle_alpha 90.00
_cell_angle_beta 90.00
_cell_angle_gamma 90.00
loop_
_atom_site_label
_atom_site_type_symbol
_atom_site_fract_x
_atom_site_fract_y
_atom_site_fract_z
Ba1 Ba 0.0000 0.0000 0.0000
Sc1 Sc 0.0000 0.0000 0.5342
Sc2 Sc 0.5000 0.5000 0.3302
Te1 Te 0.5000 0.5000 0.6938
# Formation energy (no corrections) = -516.6 meV/atom
# Volume = 31.14 Å³/atom

***

# 6
# AgTeRhI2 GGA-PBE optimized geometry
data_AgTeRhI2
_symmetry_space_group_name_H-M 'P 4/m m m'
_symmetry_Int_Tables_number 123
_symmetry_space_group_name_Hall '-P 4 2'
_cell_length_a 5.6153
_cell_length_b 5.6153
_cell_length_c 5.4714
_cell_angle_alpha 90.00
_cell_angle_beta 90.00
_cell_angle_gamma 90.00
loop_
_atom_site_label
_atom_site_type_symbol
_atom_site_fract_x
_atom_site_fract_y
_atom_site_fract_z
Ag1 Ag 0.0000 0.0000 0.0000
Te1 Te 0.0000 0.0000 0.5000
Rh1 Rh 0.5000 0.5000 0.5000
I1 I 0.0000 0.5000 0.0000
# Formation energy (no corrections) = 971.9 meV/atom
# Volume = 34.50 Å³/atom

***

# 7
# NbGaSnO6 GGA-PBE optimized geometry
data_NbGaSnO6
_symmetry_space_group_name_H-M 'P -3 1 c'
_symmetry_Int_Tables_number 163
_symmetry_space_group_name_Hall '-P 3 2c'
_cell_length_a 5.1411
_cell_length_b 5.1411
_cell_length_c 9.1058
_cell_angle_alpha 90.00
_cell_angle_beta 90.00
_cell_angle_gamma 120.00
loop_
_atom_site_label
_atom_site_type_symbol
_atom_site_fract_x
_atom_site_fract_y
_atom_site_fract_z
Nb1 Nb 0.3333 0.6667 0.2500
Ga1 Ga 0.3333 0.6667 0.7500
Sn1 Sn 0.0000 0.0000 0.0000
O1 O 0.9996 0.3403 0.1308
# Formation energy (no corrections) = -1950.3 meV/atom
# Volume = 11.58 Å³/atom

***

# 8
# Co2Se GGA-PBE optimized geometry
data_Co2Se
_symmetry_space_group_name_H-M 'I m m m'
_symmetry_Int_Tables_number 71
_symmetry_space_group_name_Hall '-I 2 2'
_cell_length_a 3.1167
_cell_length_b 3.4748
_cell_length_c 7.1997
_cell_angle_alpha 90.00
_cell_angle_beta 90.00
_cell_angle_gamma 90.00
loop_
_atom_site_label
_atom_site_type_symbol
_atom_site_fract_x
_atom_site_fract_y
_atom_site_fract_z
Co1 Co 0.0000 0.0000 0.1718
Se1 Se 0.0000 0.0000 0.5000
# Formation energy (no corrections) = 271.6 meV/atom
# Volume = 13.00 Å³/atom

***

# 9
# SiAs2Au GGA-PBE optimized geometry
data_SiAs2Au
_symmetry_space_group_name_H-M 'R 3 m'
_symmetry_Int_Tables_number 160
_symmetry_space_group_name_Hall 'R 3 -2"'
_cell_length_a 3.2536
_cell_length_b 3.2536
_cell_length_c 25.6420
_cell_angle_alpha 90.00
_cell_angle_beta 90.00
_cell_angle_gamma 120.00
loop_
_atom_site_label
_atom_site_type_symbol
_atom_site_fract_x
_atom_site_fract_y
_atom_site_fract_z
Si1 Si 0.0000 0.0000 0.0000
As1 As 0.0000 0.0000 0.5163
As2 As 0.0000 0.0000 0.7332
Au1 Au 0.0000 0.0000 0.2619
# Formation energy (no corrections) = 299.7 meV/atom
# Volume = 19.59 Å³/atom

***

# 10
# Ba2NaCa2 GGA-PBE optimized geometry
data_Ba2NaCa2
_symmetry_space_group_name_H-M 'I 4/m m m'
_symmetry_Int_Tables_number 139
_symmetry_space_group_name_Hall '-I 4 2'
_cell_length_a 4.9042
_cell_length_b 4.9042
_cell_length_c 22.5513
_cell_angle_alpha 90.00
_cell_angle_beta 90.00
_cell_angle_gamma 90.00
loop_
_atom_site_label
_atom_site_type_symbol
_atom_site_fract_x
_atom_site_fract_y
_atom_site_fract_z
Ba1 Ba 0.0000 0.0000 0.0984
Na1 Na 0.0000 0.0000 0.5000
Ca1 Ca 0.0000 0.5000 0.2500
# Volume = 54.24 Å³/atom
# ΔE_f = 0.185 eV/atom

***

# 11
# CdCNO2 GGA-PBE optimized geometry
data_CdCNO2
_symmetry_space_group_name_H-M 'P 4/m m m'
_symmetry_Int_Tables_number 123
_symmetry_space_group_name_Hall '-P 4 2'
_cell_length_a 4.2505
_cell_length_b 4.2505
_cell_length_c 4.2636
_cell_angle_alpha 90.00
_cell_angle_beta 90.00
_cell_angle_gamma 90.00
loop_
_atom_site_label
_atom_site_type_symbol
_atom_site_fract_x
_atom_site_fract_y
_atom_site_fract_z
Cd1 Cd 0.0000 0.0000 0.0000
C1 C 0.5000 0.5000 0.5000
N1 N 0.0000 0.0000 0.5000
O1 O 0.0000 0.5000 0.0000
# Formation energy (no corrections) = 2463.3 meV/atom
# Volume = 15.41 Å³/atom

***

# 12
# KInGa2 GGA-PBE optimized geometry
data_KInGa2
_symmetry_space_group_name_H-M 'P 4/m m m'
_symmetry_Int_Tables_number 123
_symmetry_space_group_name_Hall '-P 4 2'
_cell_length_a 3.7117
_cell_length_b 3.7117
_cell_length_c 7.9945
_cell_angle_alpha 90.00
_cell_angle_beta 90.00
_cell_angle_gamma 90.00
loop_
_atom_site_label
_atom_site_type_symbol
_atom_site_fract_x
_atom_site_fract_y
_atom_site_fract_z
K1 K 0.0000 0.0000 0.0000
In1 In 0.0000 0.0000 0.5000
Ga1 Ga 0.5000 0.5000 0.3117
# Volume = 27.53 Å³/atom
# ΔE_f = -0.012 eV/atom